[1]
! GGA-PBE GdY2Al, relaxed; values from VASP
&SYSTEM
  ibrav = 0, nat = 4, ntyp = 3
/
ATOMIC_SPECIES
Y 88.91 Y.upf
Gd 157.25 Gd.upf
Al 26.98 Al.upf
ATOMIC_POSITIONS crystal
Y 0.000 0.000 0.790
Y 0.000 0.000 0.210
Gd 0.500 0.500 0.500
Al 0.500 0.500 0.000
CELL_PARAMETERS angstrom
3.548 0.000 0.000
0.000 3.548 0.000
0.000 0.000 8.990
! E	-7.884	eV per atom
! E above lowest polymorph	0.0	meV/atom
! Fermi-level density of states	1.04	states/eV/atom



[2]
! GGA-PBE CeErAu, relaxed; values from VASP
&SYSTEM
  ibrav = 0, nat = 3, ntyp = 3
/
ATOMIC_SPECIES
Au 196.97 Au.upf
Ce 140.12 Ce.upf
Er 167.26 Er.upf
ATOMIC_POSITIONS crystal
Au 0.405 0.333 0.667
Ce 0.028 0.000 0.000
Er 0.568 0.667 0.333
CELL_PARAMETERS angstrom
-2.852 -2.284 -1.009
2.479 -1.301 -4.065
0.582 -2.570 4.174
! E	-4.890	eV per atom
! E above lowest polymorph	140.0	meV/atom
! Fermi-level density of states	2.43	states/eV/atom



[3]
! GGA-PBE IrOsF, relaxed; values from VASP
&SYSTEM
  ibrav = 0, nat = 3, ntyp = 3
/
ATOMIC_SPECIES
Ir 192.22 Ir.upf
Os 190.23 Os.upf
F 19.00 F.upf
ATOMIC_POSITIONS crystal
Ir 0.500 0.000 0.814
Os 0.000 0.000 0.152
F 0.500 0.000 0.458
CELL_PARAMETERS angstrom
-1.787 1.920 0.626
-0.672 0.192 -2.507
-4.319 -4.290 0.828
! E	-7.329	eV per atom
! formation energy without anion corrections	-0.008	eV/atom
! E above lowest polymorph	313.5	meV/atom
! Fermi-level density of states	0.69	states/eV/atom



[4]
! GGA-PBE NpSiPbO6, relaxed; values from VASP
&SYSTEM
  ibrav = 0, nat = 9, ntyp = 4
/
ATOMIC_SPECIES
Np 237.00 Np.upf
Si 28.09 Si.upf
Pb 207.20 Pb.upf
O 16.00 O.upf
ATOMIC_POSITIONS crystal
Np 0.667 0.667 0.500
Si 0.333 0.333 0.500
Pb 0.000 0.000 0.000
O 0.037 0.354 0.309
O 0.354 0.037 0.691
O 0.609 0.354 0.691
O 0.037 0.609 0.691
O 0.354 0.609 0.309
O 0.609 0.037 0.309
CELL_PARAMETERS angstrom
-0.515 5.209 0.064
-4.170 2.245 -2.229
-2.700 -0.324 4.722
! E	-8.027	eV per atom
! formation energy without anion corrections	-2.270	eV/atom



[5]
! GGA-PBE TlIn4Se5, relaxed; values from VASP
&SYSTEM
  ibrav = 0, nat = 20, ntyp = 3
/
ATOMIC_SPECIES
Tl 204.38 Tl.upf
In 114.82 In.upf
Se 78.96 Se.upf
ATOMIC_POSITIONS crystal
Tl 0.972 0.000 0.000
Tl 0.028 0.500 0.500
In 0.062 0.000 0.694
In 0.486 0.807 0.000
In 0.486 0.193 0.000
In 0.062 0.000 0.306
In 0.938 0.500 0.194
In 0.514 0.693 0.500
In 0.514 0.307 0.500
In 0.938 0.500 0.806
Se 0.228 0.741 0.820
Se 0.228 0.259 0.820
Se 0.710 0.500 0.000
Se 0.228 0.741 0.180
Se 0.228 0.259 0.180
Se 0.772 0.759 0.320
Se 0.772 0.241 0.320
Se 0.290 0.000 0.500
Se 0.772 0.241 0.680
Se 0.772 0.759 0.680
CELL_PARAMETERS angstrom
6.864 0.000 0.000
0.000 7.792 0.000
0.000 0.000 11.515
! E	-3.452	eV per atom
! formation energy without anion corrections	-0.377	eV/atom
! Fermi-level density of states	0.21	states/eV/atom



[6]
! GGA-PBE Hf2VCd2, relaxed; values from VASP
&SYSTEM
  ibrav = 0, nat = 10, ntyp = 3
/
ATOMIC_SPECIES
Cd 112.41 Cd.upf
Hf 178.49 Hf.upf
V 50.94 V.upf
ATOMIC_POSITIONS crystal
Cd 0.369 0.869 0.000
Cd 0.869 0.631 0.000
Cd 0.631 0.131 0.000
Cd 0.131 0.369 0.000
Hf 0.174 0.674 0.500
Hf 0.674 0.826 0.500
Hf 0.826 0.326 0.500
Hf 0.326 0.174 0.500
V 0.000 0.000 0.000
V 0.500 0.500 0.000
CELL_PARAMETERS angstrom
7.466 0.000 0.000
0.000 7.466 0.000
0.000 0.000 3.779
! E	-5.778	eV per atom
! Fermi-level density of states	0.80	states/eV/atom



[7]
! GGA-PBE ZrTcMo14, relaxed; values from VASP
&SYSTEM
  ibrav = 0, nat = 16, ntyp = 3
/
ATOMIC_SPECIES
Zr 91.22 Zr.upf
Tc 98.00 Tc.upf
Mo 95.94 Mo.upf
ATOMIC_POSITIONS crystal
Zr 0.125 0.875 0.500
Tc 0.625 0.375 0.500
Mo 0.125 0.875 0.000
Mo 0.625 0.375 0.000
Mo 0.125 0.375 0.500
Mo 0.125 0.375 0.000
Mo 0.625 0.875 0.500
Mo 0.625 0.875 0.000
Mo 0.378 0.128 0.756
Mo 0.378 0.128 0.244
Mo 0.872 0.622 0.756
Mo 0.872 0.622 0.244
Mo 0.376 0.624 0.751
Mo 0.376 0.624 0.249
Mo 0.874 0.126 0.751
Mo 0.874 0.126 0.249
CELL_PARAMETERS angstrom
-0.638 -4.392 -3.257
3.776 -1.093 3.855
-6.454 -3.099 5.443
! E	-10.671	eV per atom
! Fermi-level density of states	0.68	states/eV/atom



[8]
! GGA-PBE Nb2HPdW, relaxed; values from VASP
&SYSTEM
  ibrav = 0, nat = 5, ntyp = 4
/
ATOMIC_SPECIES
H 1.01 H.upf
Nb 92.91 Nb.upf
Pd 106.42 Pd.upf
W 183.84 W.upf
ATOMIC_POSITIONS crystal
H 0.000 0.000 0.000
Nb 0.000 0.500 0.000
Nb 0.500 0.000 0.000
Pd 0.000 0.000 0.500
W 0.500 0.500 0.500
CELL_PARAMETERS angstrom
4.404 0.000 0.000
0.000 4.404 0.000
0.000 0.000 3.615
! E	-8.368	eV per atom
! E above lowest polymorph	0.0	meV/atom
! Fermi-level density of states	0.75	states/eV/atom



[9]
! GGA-PBE Cd2BO4, relaxed; values from VASP
&SYSTEM
  ibrav = 0, nat = 7, ntyp = 3
/
ATOMIC_SPECIES
B 10.81 B.upf
O 16.00 O.upf
Cd 112.41 Cd.upf
ATOMIC_POSITIONS crystal
B 0.000 0.000 0.000
O 0.144 0.144 0.711
O 0.856 0.856 0.289
O 0.000 0.500 0.000
O 0.500 0.000 0.000
Cd 0.359 0.359 0.282
Cd 0.641 0.641 0.718
CELL_PARAMETERS angstrom
-1.480 3.220 1.446
-3.468 -1.617 0.052
-1.588 -0.944 5.542
! E	-4.781	eV per atom
! formation energy without anion corrections	-0.732	eV/atom
! E above lowest polymorph	727.9	meV/atom
! Fermi-level density of states	0.16	states/eV/atom



[10]
! GGA-PBE Nd12HoEr2, relaxed; values from VASP
&SYSTEM
  ibrav = 0, nat = 30, ntyp = 3
/
ATOMIC_SPECIES
Nd 144.24 Nd.upf
Ho 164.93 Ho.upf
Er 167.26 Er.upf
ATOMIC_POSITIONS crystal
Nd 0.500 0.500 0.785
Nd 0.000 0.000 0.785
Nd 0.818 0.682 0.886
Nd 0.318 0.818 0.886
Nd 0.000 0.000 0.337
Nd 0.182 0.682 0.114
Nd 0.832 0.332 0.563
Nd 0.500 0.500 0.337
Nd 0.182 0.318 0.886
Nd 0.682 0.818 0.114
Nd 0.332 0.168 0.563
Nd 0.668 0.168 0.437
Nd 0.000 0.000 0.663
Nd 0.168 0.332 0.437
Nd 0.318 0.182 0.114
Nd 0.832 0.668 0.437
Nd 0.668 0.832 0.563
Nd 0.000 0.000 0.215
Nd 0.168 0.668 0.563
Nd 0.500 0.500 0.663
Nd 0.682 0.182 0.886
Nd 0.500 0.500 0.215
Nd 0.332 0.832 0.437
Nd 0.818 0.318 0.114
Ho 0.500 0.000 0.000
Ho 0.000 0.500 0.000
Er 0.500 0.000 0.272
Er 0.000 0.500 0.272
Er 0.000 0.500 0.728
Er 0.500 0.000 0.728
CELL_PARAMETERS angstrom
6.553 0.000 0.000
0.000 6.553 0.000
0.000 0.000 25.574
! E	-4.404	eV per atom
! Fermi-level density of states	1.28	states/eV/atom



[11]
! GGA-PBE CdGaSn3, relaxed; values from VASP
&SYSTEM
  ibrav = 0, nat = 5, ntyp = 3
/
ATOMIC_SPECIES
Sn 118.71 Sn.upf
Ga 69.72 Ga.upf
Cd 112.41 Cd.upf
ATOMIC_POSITIONS crystal
Sn 0.000 0.500 0.000
Sn 0.000 0.000 0.500
Sn 0.500 0.000 0.000
Ga 0.500 0.500 0.500
Cd 0.000 0.000 0.000
CELL_PARAMETERS angstrom
5.542 0.000 0.000
0.000 5.542 0.000
0.000 0.000 5.542
! E	-2.595	eV per atom
! E above lowest polymorph	194.9	meV/atom
! Fermi-level density of states	0.77	states/eV/atom



[12]
! GGA-PBE BaSbAu2, relaxed; values from VASP
&SYSTEM
  ibrav = 0, nat = 4, ntyp = 3
/
ATOMIC_SPECIES
Au 196.97 Au.upf
Ba 137.33 Ba.upf
Sb 121.76 Sb.upf
ATOMIC_POSITIONS crystal
Au 0.000 0.028 0.994
Au 0.500 0.064 0.265
Ba 0.000 0.497 0.472
Sb 0.500 0.911 0.770
CELL_PARAMETERS angstrom
4.819 0.000 0.000
0.000 4.909 -0.003
0.000 0.612 5.278
! E	-3.716	eV per atom
! formation energy without anion corrections	-0.566	eV/atom
! Fermi-level density of states	0.40	states/eV/atom